[1]
VASP calculation (PBE) on RbCeRuO6 after structural relaxation.

The structure in extended XYZ format:
```
9
Lattice="5.629 0.000 0.000 -2.814 4.874 0.000 0.000 0.000 6.199" Properties=species:S:1:pos:R:3 pbc="T T T"
Rb 0.000 0.000 0.000
Ce 0.000 3.250 3.099
Ru 2.814 1.625 3.099
O 2.147 0.198 4.188
O 1.245 1.761 2.011
O 3.481 0.198 2.011
O 1.912 2.916 4.188
O 4.383 1.761 4.188
O 3.716 2.916 2.011
```

Computed properties:
- Symmetry: No. 149
- Formation energy from raw total energies: -15.307 eV per formula unit
- E_tot: -6.804 eV per atom



[2]
VASP calculation (PBE) on TaTl2As after structural relaxation.

The structure in extended XYZ format:
```
4
Lattice="-2.139 2.139 4.799 2.139 -2.139 4.799 2.139 2.139 -4.799" Properties=species:S:1:pos:R:3 pbc="T T T"
Ta 0.000 0.000 0.000
Tl 2.139 0.000 2.399
Tl 0.000 0.000 4.799
As 0.000 2.139 2.399
```

Computed properties:
- Symmetry: No. 119
- Distance to the lowest polymorph of the same formula: 528 meV per atom
- E_tot: -4.684 eV per atom
- Energy of formation: 624.3 meV/atom



[3]
VASP calculation (PBE) on PrTe2Pd after structural relaxation.

The structure in extended XYZ format:
```
4
Lattice="1.988 1.148 9.231 -1.988 1.148 9.231 0.000 -2.296 9.231" Properties=species:S:1:pos:R:3 pbc="T T T"
Pr 0.000 0.000 0.000
Te 0.000 0.000 3.139
Te 0.000 0.000 24.555
Pd 0.000 0.000 13.847
```

Computed properties:
- Symmetry: No. 166
- Distance to the lowest polymorph of the same formula: 691 meV per atom
- Formation energy from raw total energies: -1.128 eV per formula unit
- E_tot: -4.346 eV per atom



[4]
VASP calculation (PBE) on BeTlOs after structural relaxation.

The structure in extended XYZ format:
```
3
Lattice="3.994 0.000 0.000 -1.997 3.459 0.000 0.000 0.000 3.452" Properties=species:S:1:pos:R:3 pbc="T T T"
Be 0.000 0.000 0.000
Tl 1.997 1.153 1.726
Os 0.000 2.306 0.000
```

Computed properties:
- Symmetry: No. 187
- Distance to the lowest polymorph of the same formula: 180 meV per atom
- E_tot: -5.141 eV per atom
- Energy of formation: 633.0 meV/atom



[5]
VASP calculation (PBE) on BaSrCr2 after structural relaxation.

The structure in extended XYZ format:
```
4
Lattice="3.677 0.000 0.000 0.000 3.677 0.000 0.000 0.000 9.369" Properties=species:S:1:pos:R:3 pbc="T T T"
Ba 0.000 0.000 0.000
Sr 1.838 1.838 5.700
Cr 0.000 0.000 3.279
Cr 1.838 1.838 2.549
```

Computed properties:
- Symmetry: No. 99
- Distance to the lowest polymorph of the same formula: 98 meV per atom
- E_tot: -5.114 eV per atom
- Energy of formation: 598.9 meV/atom



[6]
VASP calculation (PBE) on Cd3GePd6 after structural relaxation.

The structure in extended XYZ format:
```
20
Lattice="8.607 0.000 0.000 0.000 4.206 0.000 -1.164 0.000 9.194" Properties=species:S:1:pos:R:3 pbc="T T T"
Cd -0.009 1.051 3.686
Cd 1.135 3.154 1.924
Cd 2.224 1.051 0.047
Cd 5.219 3.154 9.147
Cd 6.308 1.051 7.270
Cd 7.452 3.154 5.508
Ge 2.890 1.051 5.786
Ge 4.553 3.154 3.407
Pd -0.656 3.154 8.302
Pd 0.447 1.051 6.471
Pd 1.732 3.154 4.721
Pd 2.017 3.154 7.493
Pd 2.961 1.051 3.147
Pd 3.760 3.154 1.040
Pd 3.683 1.051 8.153
Pd 4.482 3.154 6.047
Pd 5.427 1.051 1.700
Pd 5.711 1.051 4.472
Pd 6.996 3.154 2.723
Pd 8.099 1.051 0.892
```

Computed properties:
- Symmetry: No. 11
- Distance to the lowest polymorph of the same formula: 0 meV per atom
- E_tot: -4.238 eV per atom
- Energy of formation: -386.5 meV/atom